# CaTlSiTc2, relaxed, DFT PBE-GGA
data_CaTlSiTc2
_space_group_name_H-M_alt 'P 4/m m m'
_space_group_IT_number 123
_space_group_name_Hall '-P 4 2'
_cell_length_a 4.906
_cell_length_b 4.906
_cell_length_c 5.173
_cell_angle_alpha 90.00
_cell_angle_beta 90.00
_cell_angle_gamma 90.00
loop_
_atom_site_label
_atom_site_fract_x
_atom_site_fract_y
_atom_site_fract_z
_atom_site_occupancy
Ca1 0.000 0.000 0.000 1
Tl1 0.500 0.500 0.500 1
Si1 0.000 0.000 0.500 1
Tc1 0.000 0.500 0.000 1
# Raw formation energy ... 2.08 eV per atom
# Total energy ... -20.1 eV per cell
# Size of the total moment ... 4.4 Bohr magnetons per cell